Computed, not measured: a relaxed structure of FeSbAs at the PBEsol level of DFT.

Cell and atoms, written as POSCAR:
```
FeSbAs
1.0
-3.593 2.516 -0.810
-3.464 -0.089 2.808
-0.874 3.534 2.576
Sb As Fe
1 1 1
direct
0.500 0.500 0.500
0.250 0.250 0.250
0.000 0.000 0.000
```

Summary:
- electronic total energy (eV per atom) = -5.5229
- distance to the lowest polymorph of the same formula (meV/atom) = 875